Ba2Sr2Pb GGA-PBE optimized geometry; DOS(E_F) = 14.13 states/eV per cell; formation enthalpy at 0 K = -0.0033 eV per atom; crystal system = tetragonal; energy = -2.187 eV/atom; V = 537 Å³/cell
1.0
9.143 0.000 0.000
0.000 9.143 0.000
0.000 0.000 6.427
Ba Sr Pb
4 4 2
direct
0.150 0.350 0.000
0.350 0.850 0.000
0.650 0.150 0.000
0.850 0.650 0.000
0.170 0.670 0.500
0.330 0.170 0.500
0.670 0.830 0.500
0.830 0.330 0.500
0.000 0.000 0.000
0.500 0.500 0.000